1.
Below is a relaxed Co2AsBr crystal, with properties calculated at the PBE level.

Results
ΔE to the lowest computed polymorph = 0.557 eV per atom
Fermi-level density of states = 6.63 states/eV per cell
symmetry = Pmmm, No. 47
ΔE_f (raw) = 14.6 kcal/mol of atoms

abc: 2.982 3.745 6.427
angles: 90.00 90.00 90.00
Positions (direct):
Co: 0.000 0.000 0.000
Co: 0.500 0.000 0.500
As: 0.000 0.500 0.500
Br: 0.500 0.500 0.000


2.
Below is a relaxed Co2AsBr crystal, with properties calculated at the PBE level.

Results
ΔE to the lowest computed polymorph = 0.191 eV per atom
Fermi-level density of states = 8.31 states/eV per cell
symmetry = I-42d, No. 122
ΔE_f (raw) = 6.2 kcal/mol of atoms

abc: 6.410 6.410 6.410
angles: 128.53 128.53 75.76
Positions (direct):
Co: 0.106 0.625 0.981
Co: 0.375 0.356 0.481
Co: 0.644 0.125 0.019
Co: 0.875 0.894 0.519
As: 0.000 0.000 0.000
As: 0.750 0.250 0.500
Br: 0.250 0.750 0.500
Br: 0.500 0.500 0.000